# 1
TbPm4Sm2Mg: relaxed, PBE.

Calculated values
DOS at the Fermi energy, states/eV/f.u.: 10.9
VASP energy, eV per atom: -4.32
Crystal system: orthorhombic
ρ, g cm⁻³: 6.80
Calculated formation energy, eV per atom: 0.0101

Unit cell a=5.050 b=5.062 c=10.166 alpha=90.00 beta=90.00 gamma=90.00
Space group Pmmm (No. 47)
Asymmetric unit:
Tb  0.000  0.000  0.000 x1
Pm  0.000  0.500  0.253 x2
Pm  0.500  0.000  0.253 x2
Sm  0.000  0.000  0.500 x1
Sm  0.500  0.500  0.000 x1
Mg  0.500  0.500  0.500 x1

---

# 2
Y3Ga3Os2: relaxed, PBE.

Calculated values
DOS at the Fermi energy, states/eV/f.u.: 5.4
VASP energy, eV per atom: -6.84
Crystal system: orthorhombic
ρ, g cm⁻³: 8.40
Calculated formation energy, eV per atom: -0.4718

Unit cell a=8.014 b=15.003 c=5.633 alpha=90.00 beta=90.00 gamma=90.00
Space group Pnma (No. 62)
Asymmetric unit:
Y  0.052  0.108  0.110 x8
Y  0.198  0.250  0.631 x4
Ga  0.145  0.750  0.610 x4
Ga  0.186  0.040  0.616 x8
Os  0.104  0.602  0.394 x8

---

# 3
CaZrCo3: relaxed, PBE.

Calculated values
DOS at the Fermi energy, states/eV/f.u.: 3.0
VASP energy, eV per atom: -5.54
Crystal system: cubic
ρ, g cm⁻³: 5.03
Calculated formation energy, eV per atom: 0.8300

Unit cell a=4.668 b=4.668 c=4.668 alpha=90.00 beta=90.00 gamma=90.00
Space group Pm-3m (No. 221)
Asymmetric unit:
Ca  0.000  0.000  0.000 x1
Zr  0.500  0.500  0.500 x1
Co  0.000  0.500  0.500 x3